Entry 1:
Pm2HoEr5Tm after structural relaxation. Source: Alexandria, functional PBE.

Output
E_tot: -4.315 eV/atom
total magnetic moment: 0.00 μB/cell
energy relative to the elements: 0.2812 eV per atom
ρ: 8.5 g/cm3

a = 8.545 Å, b = 8.545 Å, c = 9.858 Å
α = 115.68°, β = 115.68°, γ = 90.00°
Positions (direct):
1 Pm 0.117 0.383 0.000
2 Pm 0.617 0.117 0.000
3 Pm 0.383 0.883 0.000
4 Pm 0.883 0.617 0.000
5 Ho 0.250 0.250 0.500
6 Ho 0.750 0.750 0.500
7 Er 0.927 0.427 0.281
8 Er 0.647 0.147 0.719
9 Er 0.073 0.573 0.719
10 Er 0.147 0.073 0.719
11 Er 0.573 0.647 0.719
12 Er 0.853 0.927 0.281
13 Er 0.427 0.353 0.281
14 Er 0.353 0.853 0.281
15 Er 0.500 0.500 0.000
16 Er 0.000 0.000 0.000
17 Tm 0.250 0.750 0.500
18 Tm 0.750 0.250 0.500



Entry 2:
Pm6Ho3Er2Tm after structural relaxation. Source: Alexandria, functional PBE.

Output
E_tot: -4.639 eV/atom
total magnetic moment: 0.00 μB/cell
energy relative to the elements: 0.0136 eV per atom
ρ: 8.0 g/cm3

a = 6.216 Å, b = 6.216 Å, c = 11.760 Å
α = 95.04°, β = 95.04°, γ = 119.99°
Positions (direct):
1 Pm 0.917 0.584 0.751
2 Pm 0.750 0.750 0.249
3 Pm 0.083 0.416 0.249
4 Pm 0.584 0.917 0.751
5 Pm 0.250 0.250 0.751
6 Pm 0.416 0.083 0.249
7 Ho 0.167 0.833 0.500
8 Ho 0.833 0.167 0.500
9 Ho 0.500 0.500 0.500
10 Er 0.333 0.667 0.000
11 Er 0.667 0.333 0.000
12 Tm 0.000 0.000 0.000



Entry 3:
PmHoErTm3 after structural relaxation. Source: Alexandria, functional PBE.

Output
E_tot: -4.526 eV/atom
total magnetic moment: 0.00 μB/cell
energy relative to the elements: 0.0246 eV per atom
ρ: 8.8 g/cm3

a = 4.983 Å, b = 7.878 Å, c = 9.970 Å
α = 90.00°, β = 90.00°, γ = 108.49°
Positions (direct):
1 Pm 0.500 0.000 0.750
2 Pm 0.500 0.000 0.250
3 Ho 0.000 0.000 0.500
4 Ho 0.000 0.000 0.000
5 Er 0.832 0.664 0.750
6 Er 0.168 0.336 0.250
7 Tm 0.667 0.335 0.500
8 Tm 0.333 0.665 0.500
9 Tm 0.333 0.665 0.000
10 Tm 0.667 0.335 0.000
11 Tm 0.168 0.336 0.750
12 Tm 0.832 0.664 0.250